This record from the Alexandria database describes a PBEsol-optimized structure of BaTi2Be. The functional is meta-GGA SCAN.

Values from the calculation:
* magnetization: 0.00 μB/f.u.
* DFT formation energy: 1.005 eV per atom

a b c (Å): 10.1775 10.1775 10.1775
angles (deg): 154.56 154.56 36.29
Last column: nearest neighbours and their distance in Å.
Element x y z (fractional)
Ba (0.0000, 0.0000, 0.0000)  4 Be 3.17, 4 Ti 3.31
Ba (0.7500, 0.2500, 0.5000)  4 Be 3.17, 4 Ti 3.31
Ti (0.3133, 0.6250, 0.1883)  2 Ti 2.31
Ti (0.3750, 0.5633, 0.6883)  2 Ti 2.31
Ti (0.4367, 0.1250, 0.8117)  2 Ti 2.31
Ti (0.8750, 0.6867, 0.3117)  2 Ti 2.31
Be (0.2500, 0.7500, 0.5000)  4 Ti 2.68
Be (0.5000, 0.5000, 0.0000)  4 Ti 2.68